Entry 1:
14
Lattice="5.3824 -4.8423 0.0000 5.3824 4.8423 0.0000 -1.3216 0.0000 6.6682" Properties=species:S:1:pos:R:3 comment="Pm3DyIr3, optimized geometry, DFT PBE" dos_ef_per_ev_cell=7.75 energy_ev_per_cell=-99.0 spacegroup="C2/m, No. 12" delta_e_f_mev_per_atom=-582 pbc="T T T"
Pm 5.3824 2.9994 0.0000
Pm 4.7216 2.1876 3.3341
Pm 1.9035 0.0000 6.6214
Pm 7.5397 0.0000 0.0468
Pm 4.7216 -2.1876 3.3341
Pm 5.3824 -2.9994 0.0000
Dy 1.7331 0.0000 3.0149
Dy 7.7101 0.0000 3.6533
Ir 2.3884 2.4291 1.6822
Ir -0.3678 0.0000 4.7484
Ir 7.0548 2.4291 4.9859
Ir 2.3884 -2.4291 1.6822
Ir 9.8110 0.0000 1.9198
Ir 7.0548 -2.4291 4.9859

=====

Entry 2:
4
Lattice="0.0000 3.8585 3.8585 3.8585 0.0000 3.8585 3.8585 3.8585 0.0000" Properties=species:S:1:pos:R:3 comment="LaNdTlAu, optimized geometry, DFT PBE" dos_ef_per_ev_cell=4.26 energy_ev_per_cell=-17.5 spacegroup="F-43m, No. 216" delta_e_f_mev_per_atom=-541 pbc="T T T"
La 0.0000 0.0000 0.0000
Nd 3.8585 3.8585 3.8585
Tl 1.9292 1.9292 1.9292
Au 5.7877 5.7877 5.7877

=====

Entry 3:
20
Lattice="-3.9610 6.5456 2.6063 3.9610 -6.5456 2.6063 3.9610 6.5456 -2.6063" Properties=species:S:1:pos:R:3 comment="Sb3H5Ru2, optimized geometry, DFT PBE" dos_ef_per_ev_cell=6.86 energy_ev_per_cell=-88.3 spacegroup="Ibam, No. 72" pbc="T T T"
Sb 5.4560 1.8213 0.0000
Sb 0.0000 0.0000 1.3032
Sb 1.4950 4.7243 0.0000
Sb 2.4661 1.8213 2.6063
Sb 0.0000 0.0000 3.9095
Sb -1.4950 4.7243 2.6063
H 3.9610 3.5971 -1.3032
H 2.5345 1.9392 0.0000
H 3.9610 0.0000 1.3032
H 2.5345 -1.9392 2.6063
H 0.0000 2.9485 1.3032
H 3.9610 3.5971 1.3032
H 1.4265 8.4848 0.0000
H 0.0000 6.5456 1.3032
H 1.4265 4.6064 2.6063
H 0.0000 2.9485 3.9095
Ru 0.9191 2.1031 0.0000
Ru 4.8801 4.4425 0.0000
Ru -0.9191 2.1031 2.6063
Ru 3.0420 4.4425 2.6063

=====

Entry 4:
6
Lattice="4.5092 0.0000 0.0000 -2.2546 3.9051 0.0000 0.0000 0.0000 4.0554" Properties=species:S:1:pos:R:3 comment="BeNi5, optimized geometry, DFT PBE" dos_ef_per_ev_cell=7.40 energy_ev_per_cell=-30.8 spacegroup="P6/mmm, No. 191" delta_e_f_mev_per_atom=303 pbc="T T T"
Be 0.0000 0.0000 0.0000
Ni -1.1273 1.9525 2.0277
Ni 0.0000 2.6034 0.0000
Ni 2.2546 0.0000 2.0277
Ni 1.1273 1.9525 2.0277
Ni 2.2546 1.3017 0.0000

=====

Entry 5:
5
Lattice="-2.0077 2.0077 5.3702 2.0077 -2.0077 5.3702 2.0077 2.0077 -5.3702" Properties=species:S:1:pos:R:3 comment="HoSi2TcMo, optimized geometry, DFT PBE" formation_energy_uncorrected_mev_per_atom=-542 dos_ef_per_ev_cell=3.93 energy_ev_per_cell=-39.3 spacegroup="I-4m2, No. 119" pbc="T T T"
Ho 0.0000 0.0000 0.0000
Si 0.0000 0.0000 4.1639
Si 0.0000 0.0000 6.5764
Tc 0.0000 2.0077 2.6851
Mo 2.0077 0.0000 2.6851

=====

Entry 6:
4
Lattice="0.0000 3.2656 3.2656 3.2656 0.0000 3.2656 3.2656 3.2656 0.0000" Properties=species:S:1:pos:R:3 comment="Cd2SiRh, optimized geometry, DFT PBE" formation_energy_uncorrected_mev_per_atom=140 dos_ef_per_ev_cell=2.01 energy_ev_per_cell=-14.0 spacegroup="F-43m, No. 216" pbc="T T T"
Cd 0.0000 0.0000 0.0000
Cd 1.6328 1.6328 1.6328
Si 4.8984 4.8984 4.8984
Rh 3.2656 3.2656 3.2656

=====

Entry 7:
7
Lattice="5.1798 -1.6689 0.0000 5.1798 1.6689 0.0000 -3.4527 0.0000 5.4051" Properties=species:S:1:pos:R:3 comment="Sm2Cr2C2N, optimized geometry, DFT PBE" formation_energy_uncorrected_mev_per_atom=-490 dos_ef_per_ev_cell=3.37 energy_ev_per_cell=-58.9 spacegroup="C2/m, No. 12" pbc="T T T"
Sm -0.4162 0.0000 1.7985
Sm 7.3230 0.0000 3.6066
Cr -0.0633 0.0000 4.9650
Cr 6.9700 0.0000 0.4401
C 2.3640 0.0000 1.3727
C 4.5428 0.0000 4.0324
N 5.1798 0.0000 0.0000

=====

Entry 8:
3
Lattice="0.0000 3.1871 3.1871 3.1871 0.0000 3.1871 3.1871 3.1871 0.0000" Properties=species:S:1:pos:R:3 comment="KCoRh, optimized geometry, DFT PBE" dos_ef_per_ev_cell=2.56 energy_ev_per_cell=-11.8 spacegroup="F-43m, No. 216" delta_e_f_mev_per_atom=1240 pbc="T T T"
K 0.0000 0.0000 0.0000
Co 3.1871 3.1871 3.1871
Rh 1.5936 1.5936 1.5936

=====

Entry 9:
11
Lattice="3.2053 -5.6159 0.0000 3.2053 5.6159 0.0000 -1.2071 0.0000 6.2138" Properties=species:S:1:pos:R:3 comment="Ba2TcHg2O6, optimized geometry, DFT PBE" formation_energy_uncorrected_mev_per_atom=-1478 dos_ef_per_ev_cell=0.10 energy_ev_per_cell=-60.8 spacegroup="C2/m, No. 12" pbc="T T T"
Ba 3.2053 3.7734 0.0000
Ba 3.2053 -3.7734 0.0000
Tc 3.2053 0.0000 0.0000
Hg 2.6017 1.5678 3.1069
Hg 2.6017 -1.5678 3.1069
O 1.2141 1.3892 5.1271
O 1.6018 0.0000 1.1475
O 1.2141 -1.3892 5.1271
O 3.9894 1.3892 1.0866
O 3.6016 0.0000 5.0662
O 3.9894 -1.3892 1.0866

=====

Entry 10:
11
Lattice="-1.8452 4.7674 9.8109 1.8452 -4.7674 9.8109 1.8452 4.7674 -9.8109" Properties=species:S:1:pos:R:3 comment="Tb3Pr4Tl4, optimized geometry, DFT PBE" dos_ef_per_ev_cell=10.10 energy_ev_per_cell=-45.3 spacegroup="Immm, No. 71" delta_e_f_mev_per_atom=-256 pbc="T T T"
Tb 0.0000 0.0000 0.0000
Tb 1.8452 0.0000 7.9829
Tb 0.0000 4.7674 1.8280
Pr 1.8452 1.6649 -3.1813
Pr 1.8452 1.6649 3.1813
Pr 0.0000 3.1025 6.6296
Pr 0.0000 3.1025 12.9922
Tl 0.0000 0.0000 5.4334
Tl 1.8452 2.6634 0.0000
Tl 0.0000 2.1041 9.8109
Tl 0.0000 0.0000 14.1885

=====

Entry 11:
6
Lattice="4.5421 0.0000 0.0000 0.0000 3.7135 0.0000 -1.7484 0.0000 8.0611" Properties=species:S:1:pos:R:3 comment="MgNpSb, optimized geometry, DFT PBE" formation_energy_uncorrected_mev_per_atom=-92 dos_ef_per_ev_cell=9.77 energy_ev_per_cell=-37.9 spacegroup="P2_1/m, No. 11" pbc="T T T"
Mg 0.2759 0.9284 3.7637
Mg 2.5178 2.7851 4.2974
Np 0.3544 2.7851 0.6941
Np 2.4393 0.9284 7.3671
Sb 0.2124 2.7851 6.1521
Sb 2.5812 0.9284 1.9090

=====

Entry 12:
8
Lattice="-3.4527 3.4527 2.6951 3.4527 -3.4527 2.6951 3.4527 3.4527 -2.6951" Properties=species:S:1:pos:R:3 comment="AlInFe2, optimized geometry, DFT PBE" dos_ef_per_ev_cell=6.92 energy_ev_per_cell=-43.2 spacegroup="I-42d, No. 122" delta_e_f_mev_per_atom=456 pbc="T T T"
Al 0.0000 0.0000 0.0000
Al 0.0000 3.4527 1.3476
In 3.4527 0.0000 1.3476
In 0.0000 0.0000 2.6951
Fe 5.1790 1.5690 -0.6738
Fe 1.5690 1.7263 0.6738
Fe -1.7263 1.8837 2.0214
Fe 1.8837 1.7263 3.3689